3
Lattice="4.355 0.003 0.001 2.205 3.756 -0.001 -2.907 -2.531 2.028" Properties=species:S:1:pos:R:3 comment="MnFe2 (GGA-PBE, optimized geometry)" magmom_total_mub_per_atom=0.62 final_energy_ev_per_fu=-25.90 spacegroup=Immm e_form_mev_per_atom=65.6 pbc="T T T"
Mn 2.187 1.253 0.000
Fe 6.554 3.756 0.000
Fe 4.380 2.510 0.000



3
Lattice="1.968 -3.409 0.000 1.968 3.409 0.000 0.000 0.000 2.439" Properties=species:S:1:pos:R:3 comment="MnFe2 (GGA-PBE, optimized geometry)" magmom_total_mub_per_atom=0.41 final_energy_ev_per_fu=-25.64 spacegroup=P6/mmm e_form_mev_per_atom=153.1 pbc="T T T"
Mn 0.000 0.000 1.220
Fe 1.968 -1.136 0.000
Fe 1.968 1.136 0.000



6
Lattice="1.098 -1.984 -3.901 1.513 -1.734 3.881 -4.490 -0.378 0.251" Properties=species:S:1:pos:R:3 comment="MnFe2 (GGA-PBE, optimized geometry)" magmom_total_mub_per_atom=0.61 final_energy_ev_per_fu=-25.22 spacegroup=I4/mcm e_form_mev_per_atom=292.2 pbc="T T T"
Mn 0.653 -0.930 -0.005
Mn 1.959 -2.789 -0.015
Fe -0.243 -2.952 0.929
Fe -1.636 -1.145 -0.698
Fe 0.532 -2.392 -1.905
Fe -2.410 -1.704 2.136



4
Lattice="2.469 0.000 0.000 -1.234 8.178 0.005 1.234 -0.188 2.130" Properties=species:S:1:pos:R:3 comment="Mn3Fe (GGA-PBE, optimized geometry)" magmom_total_mub_per_atom=0.13 final_energy_ev_per_fu=-35.62 spacegroup=R-3m e_form_mev_per_atom=88.2 pbc="T T T"
Fe 0.000 0.000 0.000
Mn 0.000 6.079 0.536
Mn 1.234 3.995 1.067
Mn 2.469 1.911 1.599



3
Lattice="2.464 0.000 0.000 -1.232 2.134 0.000 0.000 0.000 6.089" Properties=species:S:1:pos:R:3 comment="MnFe2 (GGA-PBE, optimized geometry)" magmom_total_mub_per_atom=0.42 final_energy_ev_per_fu=-25.77 spacegroup=P-3m1 e_form_mev_per_atom=107.6 pbc="T T T"
Fe 0.000 0.000 0.015
Fe 0.000 1.423 4.044
Mn 1.232 0.711 2.030



3
Lattice="3.992 0.000 0.000 0.000 3.992 0.000 0.000 0.000 2.544" Properties=species:S:1:pos:R:3 comment="MnFe2 (GGA-PBE, optimized geometry)" magmom_total_mub_per_atom=1.20 final_energy_ev_per_fu=-23.88 spacegroup=P4/mmm e_form_mev_per_atom=738.6 pbc="T T T"
Fe 0.000 1.996 1.272
Fe 1.996 0.000 1.272
Mn 0.000 0.000 0.000



6
Lattice="-1.820 1.278 -1.084 1.512 -1.402 -1.367 -7.800 -9.853 1.477" Properties=species:S:1:pos:R:3 comment="MnFe2 (GGA-PBE, optimized geometry)" magmom_total_mub_per_atom=0.68 final_energy_ev_per_fu=-25.24 spacegroup=P6_3/mmc e_form_mev_per_atom=285.4 pbc="T T T"
Mn -1.549 -2.972 -0.904
Mn -6.559 -7.005 -0.070
Fe -2.529 0.382 -0.950
Fe -3.098 -7.224 -0.494
Fe -5.580 -10.359 -0.024
Fe -5.011 -2.753 -0.480



8
Lattice="-3.557 -0.052 0.264 -0.198 -1.869 -3.032 2.237 -5.031 5.054" Properties=species:S:1:pos:R:3 comment="Mn3Fe (GGA-PBE, optimized geometry)" magmom_total_mub_per_atom=0.05 final_energy_ev_per_fu=-35.87 spacegroup=I4/mmm e_form_mev_per_atom=25.3 pbc="T T T"
Fe 0.269 -4.488 2.748
Fe -1.787 -2.465 -0.463
Mn -0.099 -0.934 -1.516
Mn -1.778 -0.026 0.132
Mn 0.081 -3.930 0.319
Mn -1.599 -3.022 1.967
Mn 0.089 -1.490 0.912
Mn -1.607 -5.462 1.373